Record 1
NaPdBr: relaxed, GGA-PBE.

- V (Å³/cell) = 202.8
- formation energy (no corrections) (kJ per mole of atoms) = -34
- M_tot (μB/f.u.) = 0.00
- final energy (eV/atom) = -3.09

Geometry as CIF:
```
data_NaPdBr
_chemical_formula_sum 'Na2 Pd2 Br2'
_cell_length_a 4.9025
_cell_length_b 4.9025
_cell_length_c 9.7418
_cell_angle_alpha 90.00
_cell_angle_beta 90.00
_cell_angle_gamma 120.00
_space_group_name_H-M_alt 'P 63/m m c'
_space_group_IT_number 194
_space_group_name_Hall '-P 6c 2c'
loop_
_atom_site_label
_atom_site_fract_x
_atom_site_fract_y
_atom_site_fract_z
Na1 0.3333 0.6667 0.2500
Pd1 0.0000 0.0000 0.0000
Br1 0.0000 0.0000 0.2500
```

=====

Record 2
NaPdBr: relaxed, GGA-PBE.

- V (Å³/cell) = 136.9
- formation energy (no corrections) (kJ per mole of atoms) = -54
- M_tot (μB/f.u.) = 0.00
- final energy (eV/atom) = -3.29

Geometry as CIF:
```
data_NaPdBr
_chemical_formula_sum 'Na2 Pd2 Br2'
_cell_length_a 3.999
_cell_length_b 4.027
_cell_length_c 8.946
_cell_angle_alpha 77.24
_cell_angle_beta 77.27
_cell_angle_gamma 90.00
_space_group_name_H-M_alt 'P -1'
_space_group_IT_number 2
_space_group_name_Hall '-P 1'
loop_
_atom_site_label
_atom_site_fract_x
_atom_site_fract_y
_atom_site_fract_z
Na1 0.168 0.168 0.172
Pd1 0.000 0.000 0.500
Pd2 0.500 0.500 0.500
Br1 0.345 0.345 0.804
```

=====

Record 3
NaPdBr4: relaxed, GGA-PBE.

- V (Å³/cell) = 786.5
- formation energy (no corrections) (kJ per mole of atoms) = -60
- M_tot (μB/f.u.) = 1.00
- final energy (eV/atom) = -2.82

Geometry as CIF:
```
data_NaPdBr4
_chemical_formula_sum 'Na4 Pd4 Br16'
_cell_length_a 8.158
_cell_length_b 16.310
_cell_length_c 7.042
_cell_angle_alpha 90.00
_cell_angle_beta 122.92
_cell_angle_gamma 90.00
_space_group_name_H-M_alt 'C 1 2/c 1'
_space_group_IT_number 15
_space_group_name_Hall '-C 2yc'
loop_
_atom_site_label
_atom_site_fract_x
_atom_site_fract_y
_atom_site_fract_z
Na1 0.000 0.074 0.250
Pd1 0.000 0.441 0.750
Br1 0.211 0.450 0.227
Br2 0.215 0.331 0.765
```

=====

Record 4
NaPdBr: relaxed, GGA-PBE.

- V (Å³/cell) = 137.2
- formation energy (no corrections) (kJ per mole of atoms) = -57
- M_tot (μB/f.u.) = 0.00
- final energy (eV/atom) = -3.32

Geometry as CIF:
```
data_NaPdBr
_chemical_formula_sum 'Na2 Pd2 Br2'
_cell_length_a 3.589
_cell_length_b 3.647
_cell_length_c 10.484
_cell_angle_alpha 89.65
_cell_angle_beta 89.17
_cell_angle_gamma 89.99
_space_group_name_H-M_alt 'P 1'
_space_group_IT_number 1
_space_group_name_Hall 'P 1'
loop_
_atom_site_label
_atom_site_fract_x
_atom_site_fract_y
_atom_site_fract_z
Na1 0.000 0.000 0.000
Na2 0.017 0.501 0.638
Pd1 0.025 0.500 0.344
Pd2 0.525 0.998 0.425
Br1 0.492 0.497 0.138
Br2 0.511 0.999 0.781
```

=====

Record 5
NaPdBr: relaxed, GGA-PBE.

- V (Å³/cell) = 263.3
- formation energy (no corrections) (kJ per mole of atoms) = -48
- M_tot (μB/f.u.) = 0.00
- final energy (eV/atom) = -3.22

Geometry as CIF:
```
data_NaPdBr
_chemical_formula_sum 'Na4 Pd4 Br4'
_cell_length_a 4.731
_cell_length_b 10.231
_cell_length_c 5.846
_cell_angle_alpha 90.00
_cell_angle_beta 111.49
_cell_angle_gamma 90.00
_space_group_name_H-M_alt 'C 1 2/c 1'
_space_group_IT_number 15
_space_group_name_Hall '-C 2yc'
loop_
_atom_site_label
_atom_site_fract_x
_atom_site_fract_y
_atom_site_fract_z
Na1 0.000 0.187 0.250
Pd1 0.000 0.500 0.000
Br1 0.000 0.119 0.750
```

=====

Record 6
NaPd2Br6: relaxed, GGA-PBE.

- V (Å³/cell) = 1275.8
- formation energy (no corrections) (kJ per mole of atoms) = -47
- M_tot (μB/f.u.) = 1.04
- final energy (eV/atom) = -2.91

Geometry as CIF:
```
data_NaPd2Br6
_chemical_formula_sum 'Na4 Pd8 Br24'
_cell_length_a 12.728
_cell_length_b 13.160
_cell_length_c 7.764
_cell_angle_alpha 90.00
_cell_angle_beta 101.19
_cell_angle_gamma 90.00
_space_group_name_H-M_alt 'C 1 2/c 1'
_space_group_IT_number 15
_space_group_name_Hall '-C 2yc'
loop_
_atom_site_label
_atom_site_fract_x
_atom_site_fract_y
_atom_site_fract_z
Na1 0.000 0.067 0.250
Pd1 0.240 0.496 0.867
Br1 0.104 0.401 0.184
Br2 0.112 0.106 0.960
Br3 0.245 0.383 0.614
```

=====

Q: What is the M_tot in the third record?
A: 1.00 μB/f.u.